First-principles (PBE) data for In2CuSe after structural relaxation, as listed in Alexandria.

Summary:
Energy relative to the elements, uncorrected ... 0.355 eV per formula unit
Total moment ... 0.00 μB per atom
Energy ... -0.2334 Ry per atom

POSCAR file:
```
In2CuSe
1.0
2.9665 -4.0244 0.0000
2.9665 4.0244 0.0000
-0.8129 0.0000 3.7491
In Cu Se
2 1 1
Direct
0.0000 0.5000 0.0000 In
0.5000 0.0000 0.0000 In
0.0000 0.0000 0.5000 Cu
0.5000 0.5000 0.5000 Se
```

First-principles (PBE) data for LaNd4Y5 after structural relaxation, as listed in Alexandria.

Summary:
Total moment ... 0.00 μB per atom
Energy ... -0.4000 Ry per atom
ΔE_f ... 190 meV/atom

POSCAR file:
```
LaNd4Y5
1.0
8.7454 -1.7927 0.0000
8.7454 1.7927 0.0000
-0.0337 0.0000 11.2679
La Nd Y
1 4 5
Direct
0.0000 0.0000 0.0000 La
0.1536 0.1536 0.2501 Nd
0.4705 0.4705 0.2516 Nd
0.5295 0.5295 0.7484 Nd
0.8464 0.8464 0.7499 Nd
0.0000 0.0000 0.5000 Y
0.3240 0.3240 0.0583 Y
0.3261 0.3261 0.4468 Y
0.6739 0.6739 0.5532 Y
0.6760 0.6760 0.9417 Y
```

First-principles (PBE) data for RhAuSN2 after structural relaxation, as listed in Alexandria.

Summary:
Energy relative to the elements, uncorrected ... 9.953 eV per formula unit
Total moment ... 0.88 μB per atom
Energy ... -0.3154 Ry per atom
E above lowest polymorph ... 869 meV/atom

POSCAR file:
```
RhAuSN2
1.0
3.7963 0.0000 0.0000
0.0000 3.7963 0.0000
0.0000 0.0000 7.1142
Rh Au S N
1 1 1 2
Direct
0.0000 0.0000 0.0000 Rh
0.5000 0.5000 0.5000 Au
0.5000 0.5000 0.0000 S
0.0000 0.5000 0.5000 N
0.5000 0.0000 0.5000 N
```

First-principles (PBE) data for CrPPtCl2 after structural relaxation, as listed in Alexandria.

Summary:
Energy relative to the elements, uncorrected ... 3.959 eV per formula unit
Total moment ... 0.79 μB per atom
Energy ... -0.3059 Ry per atom
E above lowest polymorph ... 353 meV/atom

POSCAR file:
```
CrPPtCl2
1.0
4.6340 0.0000 0.0000
0.0000 4.6340 0.0000
0.0000 0.0000 4.8762
Cr P Pt Cl
1 1 1 2
Direct
0.0000 0.0000 0.0000 Cr
0.0000 0.0000 0.5000 P
0.5000 0.5000 0.0000 Pt
0.0000 0.5000 0.5000 Cl
0.5000 0.0000 0.5000 Cl
```

First-principles (PBE) data for PaFeAu after structural relaxation, as listed in Alexandria.

Summary:
Total moment ... 0.00 μB per atom
Energy ... -0.5204 Ry per atom
ΔE_f ... -2 meV/atom

POSCAR file:
```
PaFeAu
1.0
-2.0007 2.0007 3.8898
2.0007 -2.0007 3.8898
2.0007 2.0007 -3.8898
Pa Fe Au
1 1 1
Direct
0.0000 0.0000 0.0000 Pa
0.2686 0.2686 0.0000 Fe
0.6300 0.6300 0.0000 Au
```